The following is a PBE calculation of a relaxed structure of Y4TeCl, from Alexandria via LeMat-Bulk.

Values from the calculation:
formation energy without anion corrections: 25 meV per atom

abc: 9.163 9.163 9.163
angles: 90.00 90.00 90.00
Space group F-43m (No. 216)
Unique sites:
Y (0.124, 0.124, 0.376) (multiplicity 16)
Te (0.250, 0.250, 0.750) (multiplicity 4)
Cl (0.000, 0.000, 0.000) (multiplicity 4)